Entry 1:
## Pm3BiC (PBE-GGA)

Data for a relaxed structure of Pm3BiC.

Unit cell a=5.076 b=5.076 c=5.076 alpha=90.00 beta=90.00 gamma=90.00
Space group Pm-3m (No. 221)
Asymmetric unit:
Pm: 0.000 0.000 0.500
Bi: 0.500 0.500 0.500
C: 0.000 0.000 0.000

Properties
As for the magnetic moment: 0.003 μB per formula unit. The final energy comes out at -5.9818 eV per atom.

***

Entry 2:
## Fe4I3Cl (PBE-GGA)

Data for a relaxed structure of Fe4I3Cl.

Unit cell a=5.582 b=5.582 c=5.582 alpha=90.00 beta=90.00 gamma=90.00
Space group Pm-3m (No. 221)
Asymmetric unit:
Fe: 0.000 0.000 0.000
Fe: 0.000 0.500 0.500
I: 0.000 0.000 0.500
Cl: 0.500 0.500 0.500

Properties
As for the magnetic moment: 12.315 μB per formula unit. The final energy comes out at -4.3337 eV per atom.

***

Entry 3:
## ZnTePtO (PBE-GGA)

Data for a relaxed structure of ZnTePtO.

Unit cell a=5.240 b=7.156 c=7.265 alpha=90.00 beta=90.00 gamma=90.00
Space group P2_12_12_1 (No. 19)
Asymmetric unit:
Zn: 0.232 0.094 0.425
Te: 0.239 0.448 0.801
Pt: 0.169 0.781 0.589
O: 0.144 0.689 0.072

Properties
As for the magnetic moment: 0.001 μB per formula unit. The final energy comes out at -4.3860 eV per atom. As for the energy above the most stable polymorph in this dataset: 47.6 meV per atom.

***

Entry 4:
## ZnCoCuAg (PBE-GGA)

Data for a relaxed structure of ZnCoCuAg.

Unit cell a=6.013 b=6.013 c=6.013 alpha=90.00 beta=90.00 gamma=90.00
Space group F-43m (No. 216)
Asymmetric unit:
Zn: 0.000 0.000 0.000
Co: 0.250 0.250 0.250
Cu: 0.250 0.250 0.750
Ag: 0.000 0.000 0.500

Properties
As for the magnetic moment: 0.813 μB per formula unit. The final energy comes out at -3.5119 eV per atom. The value obtained for the formation enthalpy at 0 K is 0.216 eV per atom. As for the energy above the most stable polymorph in this dataset: 0.0 meV per atom.

***

Entry 5:
## TbBr3 (PBE-GGA)

Data for a relaxed structure of TbBr3.

Unit cell a=6.8619 b=6.8619 c=19.1520 alpha=90.00 beta=90.00 gamma=120.00
Space group R-3c (No. 167, hexagonal axes)
Asymmetric unit:
Tb: 0.0000 0.0000 0.0000
Br: 0.0000 0.3231 0.2500

Properties
As for the magnetic moment: 0.001 μB per formula unit. The final energy comes out at -4.2267 eV per atom.

***

Entry 6:
## GaCuPb2 (PBE-GGA)

Data for a relaxed structure of GaCuPb2.

Unit cell a=7.287 b=7.287 c=7.287 alpha=90.00 beta=90.00 gamma=90.00
Space group F-43m (No. 216)
Asymmetric unit:
Ga: 0.000 0.000 0.000
Cu: 0.250 0.250 0.250
Pb: 0.000 0.000 0.500
Pb: 0.250 0.250 0.750

Properties
The final energy comes out at -3.2365 eV per atom.

***

Entry 7:
## CsLuPO (PBE-GGA)

Data for a relaxed structure of CsLuPO.

Unit cell a=4.975 b=4.975 c=10.120 alpha=90.00 beta=90.00 gamma=90.00
Space group P4/nmm (No. 129, origin choice 2)
Asymmetric unit:
Cs: 0.250 0.250 0.133
Lu: 0.250 0.750 0.500
P: 0.250 0.250 0.593
O: 0.250 0.750 0.000

Properties
As for the magnetic moment: 1.039 μB per formula unit. The final energy comes out at -4.5587 eV per atom. As for the energy above the most stable polymorph in this dataset: 866.4 meV per atom.

***

Entry 8:
## TbDyCoGe2 (PBE-GGA)

Data for a relaxed structure of TbDyCoGe2.

Unit cell a=10.488 b=4.209 c=10.214 alpha=90.00 beta=118.01 gamma=90.00
Space group C2/m (No. 12)
Asymmetric unit:
Tb: 0.005 0.000 0.333
Dy: 0.186 0.000 0.112
Co: 0.224 0.500 0.356
Ge: 0.015 0.500 0.875
Ge: 0.155 0.500 0.566

Properties
As for the magnetic moment: 0.012 μB per formula unit. The final energy comes out at -5.8613 eV per atom.